# PBE-GGA Bi2Pd7Au, relaxed
# Total DFT energy (no corrections) in eV per atom: -4.6682
# Calculated density in g cm⁻³: 11.15
# E_form in meV/atom: 71
data_Bi2Pd7Au
_chemical_formula_sum 'Bi4 Pd14 Au2'
_symmetry_space_group_name_H-M 'C m m m'
_symmetry_Int_Tables_number 65
_symmetry_space_group_name_Hall '-C 2 2'
_cell_length_a 8.323
_cell_length_b 16.105
_cell_length_c 3.021
_cell_angle_alpha 90.00
_cell_angle_beta 90.00
_cell_angle_gamma 90.00
loop_
_atom_site_label
_atom_site_type_symbol
_atom_site_fract_x
_atom_site_fract_y
_atom_site_fract_z
_atom_site_occupancy
Bi1 Bi 0.000 0.180 0.000 1
Pd1 Pd 0.000 0.000 0.000 1
Pd2 Pd 0.000 0.323 0.500 1
Pd3 Pd 0.226 0.409 0.000 1
Au1 Au 0.000 0.500 0.500 1